Computed, not measured: crystalline CaThAgAu at its relaxed geometry at the PBE level of DFT.

Cell lengths 5.2282, 5.2282, 5.2282 Å; angles 60.00, 60.00, 60.00 degrees
Last column: nearest neighbours and their distance in Å.
Sites, in units of the cell vectors:
Ca1 0.0000 0.0000 0.0000  4 Au 3.20, 4 Ag 3.20
Au1 0.7500 0.7500 0.7500  4 Ca 3.20, 4 Th 3.20
Ag1 0.2500 0.2500 0.2500  4 Th 3.20, 4 Ca 3.20
Th1 0.5000 0.5000 0.5000  4 Ag 3.20, 4 Au 3.20

Space-group type: F-43m (216)
E, eV per atom: -4.29
M_tot, Bohr magnetons per cell: 0.0